[1]
Computed, not measured: a relaxed structure of Sc2TcCl4 at the PBE level of DFT.

Unit cell a=7.316 b=7.316 c=7.316 alpha=141.77 beta=141.77 gamma=55.18
Fractional positions:
Sc (0.108, 0.108, 0.000)
Sc (0.892, 0.892, 0.000)
Tc (0.500, 0.500, 0.000)
Cl (0.000, 0.500, 0.500)
Cl (0.305, 0.305, 0.000)
Cl (0.500, 0.000, 0.500)
Cl (0.695, 0.695, 0.000)

Results
The calculation puts the total energy at -33.69 eV/f.u. Its energy relative to the elements, uncorrected is -0.47 eV per atom.

=====

[2]
Computed, not measured: a relaxed structure of ScTc2Cl at the PBE level of DFT.

Unit cell a=4.462 b=4.462 c=3.158 alpha=90.00 beta=90.00 gamma=90.00
Fractional positions:
Sc (0.000, 0.000, 0.000)
Tc (0.000, 0.500, 0.500)
Tc (0.500, 0.000, 0.500)
Cl (0.500, 0.500, 0.000)

Results
The calculation puts the total energy at -26.62 eV/f.u. Its energy relative to the elements, uncorrected is 0.57 eV per atom. The distance to the lowest polymorph of the same formula comes out at 927 meV per atom.

=====

[3]
Computed, not measured: a relaxed structure of Sc2TcCl at the PBE level of DFT.

Unit cell a=3.252 b=3.252 c=7.370 alpha=90.00 beta=90.00 gamma=90.00
Fractional positions:
Sc (0.000, 0.000, 0.208)
Sc (0.000, 0.000, 0.792)
Tc (0.500, 0.500, 0.000)
Cl (0.500, 0.500, 0.500)

Results
The calculation puts the total energy at -27.77 eV/f.u. Its energy relative to the elements, uncorrected is -0.72 eV per atom. The distance to the lowest polymorph of the same formula comes out at 81 meV per atom.

=====

[4]
Computed, not measured: a relaxed structure of Sc2TcCl at the PBE level of DFT.

Unit cell a=3.269 b=4.525 c=5.173 alpha=90.00 beta=107.46 gamma=90.00
Fractional positions:
Sc (0.000, 0.000, 0.000)
Sc (0.243, 0.500, 0.570)
Tc (0.546, 0.500, 0.076)
Cl (0.728, 0.000, 0.462)

Results
The calculation puts the total energy at -26.82 eV/f.u. Its energy relative to the elements, uncorrected is -0.49 eV per atom. The distance to the lowest polymorph of the same formula comes out at 319 meV per atom.

=====

[5]
Computed, not measured: a relaxed structure of ScTcCl at the PBE level of DFT.

Unit cell a=4.444 b=4.444 c=4.444 alpha=60.00 beta=60.00 gamma=60.00
Fractional positions:
Sc (0.000, 0.000, 0.000)
Tc (0.750, 0.750, 0.750)
Cl (0.250, 0.250, 0.250)

Results
The calculation puts the total energy at -16.41 eV/f.u. Its energy relative to the elements, uncorrected is 0.71 eV per atom. The distance to the lowest polymorph of the same formula comes out at 1004 meV per atom.

=====

[6]
Computed, not measured: a relaxed structure of ScTc2Cl at the PBE level of DFT.

Unit cell a=3.032 b=4.435 c=5.346 alpha=90.00 beta=90.00 gamma=90.00
Fractional positions:
Sc (0.000, 0.000, 0.000)
Tc (0.500, 0.500, 0.206)
Tc (0.500, 0.500, 0.794)
Cl (0.000, 0.000, 0.500)

Results
The calculation puts the total energy at -27.95 eV/f.u. Its energy relative to the elements, uncorrected is 0.24 eV per atom. The distance to the lowest polymorph of the same formula comes out at 596 meV per atom.

=====

[7]
Computed, not measured: a relaxed structure of Sc2TcCl at the PBE level of DFT.

Unit cell a=8.879 b=8.879 c=8.879 alpha=22.09 beta=22.09 gamma=22.09
Fractional positions:
Sc (0.096, 0.096, 0.096)
Sc (0.904, 0.904, 0.904)
Tc (0.500, 0.500, 0.500)
Cl (0.000, 0.000, 0.000)

Results
The calculation puts the total energy at -27.04 eV/f.u. Its energy relative to the elements, uncorrected is -0.54 eV per atom. The distance to the lowest polymorph of the same formula comes out at 263 meV per atom.

=====

[8]
Computed, not measured: a relaxed structure of Sc2TcCl at the PBE level of DFT.

Unit cell a=3.354 b=3.247 c=7.482 alpha=90.00 beta=91.48 gamma=90.00
Fractional positions:
Sc (0.022, 0.000, 0.296)
Sc (0.978, 0.000, 0.704)
Tc (0.500, 0.500, 0.500)
Cl (0.000, 0.500, 0.000)

Results
The calculation puts the total energy at -28.10 eV/f.u. Its energy relative to the elements, uncorrected is -0.81 eV per atom. The distance to the lowest polymorph of the same formula comes out at 0 meV per atom.

=====

[9]
Computed, not measured: a relaxed structure of Sc2TcCl at the PBE level of DFT.

Unit cell a=4.817 b=4.817 c=3.138 alpha=90.00 beta=90.00 gamma=90.00
Fractional positions:
Sc (0.000, 0.500, 0.000)
Sc (0.500, 0.000, 0.000)
Tc (0.000, 0.000, 0.500)
Cl (0.500, 0.500, 0.500)

Results
The calculation puts the total energy at -26.34 eV/f.u. Its energy relative to the elements, uncorrected is -0.37 eV per atom. The distance to the lowest polymorph of the same formula comes out at 439 meV per atom.

=====

[10]
Computed, not measured: a relaxed structure of Sc2TcCl at the PBE level of DFT.

Unit cell a=10.108 b=10.108 c=10.108 alpha=18.16 beta=18.16 gamma=18.16
Fractional positions:
Sc (0.000, 0.000, 0.000)
Sc (0.238, 0.238, 0.238)
Tc (0.732, 0.732, 0.732)
Cl (0.513, 0.513, 0.513)

Results
The calculation puts the total energy at -25.46 eV/f.u. Its energy relative to the elements, uncorrected is -0.15 eV per atom. The distance to the lowest polymorph of the same formula comes out at 659 meV per atom.

=====

[11]
Computed, not measured: a relaxed structure of ScTc2Cl at the PBE level of DFT.

Unit cell a=8.777 b=8.777 c=8.777 alpha=20.41 beta=20.41 gamma=20.41
Fractional positions:
Sc (0.000, 0.000, 0.000)
Tc (0.249, 0.249, 0.249)
Tc (0.514, 0.514, 0.514)
Cl (0.738, 0.738, 0.738)

Results
The calculation puts the total energy at -29.64 eV/f.u. Its energy relative to the elements, uncorrected is -0.18 eV per atom. The distance to the lowest polymorph of the same formula comes out at 173 meV per atom.

=====

[12]
Computed, not measured: a relaxed structure of ScTc2Cl at the PBE level of DFT.

Unit cell a=2.904 b=2.904 c=8.689 alpha=90.00 beta=90.00 gamma=115.33
Fractional positions:
Sc (0.000, 0.000, 0.000)
Tc (0.500, 0.500, 0.257)
Tc (0.500, 0.500, 0.743)
Cl (0.000, 0.000, 0.500)

Results
The calculation puts the total energy at -27.27 eV/f.u. Its energy relative to the elements, uncorrected is 0.41 eV per atom. The distance to the lowest polymorph of the same formula comes out at 767 meV per atom.

=====

[13]
Computed, not measured: a relaxed structure of Sc2TcCl at the PBE level of DFT.

Unit cell a=5.288 b=5.288 c=5.288 alpha=143.91 beta=113.11 gamma=78.43
Fractional positions:
Sc (0.245, 0.245, 0.000)
Sc (0.755, 0.755, 0.000)
Tc (0.500, 0.000, 0.500)
Cl (0.000, 0.500, 0.500)

Results
The calculation puts the total energy at -25.34 eV/f.u. Its energy relative to the elements, uncorrected is -0.12 eV per atom. The distance to the lowest polymorph of the same formula comes out at 688 meV per atom.

=====

[14]
Computed, not measured: a relaxed structure of ScTc3Cl at the PBE level of DFT.

Unit cell a=4.966 b=4.966 c=4.966 alpha=90.00 beta=90.00 gamma=90.00
Fractional positions:
Sc (0.000, 0.000, 0.000)
Tc (0.000, 0.000, 0.500)
Tc (0.000, 0.500, 0.000)
Tc (0.500, 0.000, 0.000)
Cl (0.500, 0.500, 0.500)

Results
The calculation puts the total energy at -28.72 eV/f.u. Its energy relative to the elements, uncorrected is 2.11 eV per atom. The distance to the lowest polymorph of the same formula comes out at 1469 meV per atom.

=====

[15]
Computed, not measured: a relaxed structure of ScTcCl at the PBE level of DFT.

Unit cell a=4.291 b=4.291 c=4.291 alpha=60.00 beta=60.00 gamma=60.00
Fractional positions:
Sc (0.000, 0.000, 0.000)
Tc (0.750, 0.750, 0.750)
Cl (0.500, 0.500, 0.500)

Results
The calculation puts the total energy at -16.95 eV/f.u. Its energy relative to the elements, uncorrected is 0.53 eV per atom. The distance to the lowest polymorph of the same formula comes out at 824 meV per atom.